No. 1
# CsBa3Ta, optimized geometry, DFT PBE-GGA
data_CsBa3Ta
_cell_length_a 6.528
_cell_length_b 6.528
_cell_length_c 6.528
_cell_angle_alpha 90.00
_cell_angle_beta 90.00
_cell_angle_gamma 90.00
_space_group_name_H-M_alt 'P m -3 m'
_space_group_IT_number 221
_space_group_name_Hall '-P 4 2 3'
loop_
_atom_site_label
_atom_site_type_symbol
_atom_site_fract_x
_atom_site_fract_y
_atom_site_fract_z
_atom_site_occupancy
Cs1 Cs 0.000 0.000 0.000 1
Ba1 Ba 0.000 0.500 0.500 1
Ta1 Ta 0.500 0.500 0.500 1
# Formation energy in kJ/mol of atoms: 78.40
# Crystal system: cubic



No. 2
# Cs3BaTa, optimized geometry, DFT PBE-GGA
data_Cs3BaTa
_cell_length_a 7.062
_cell_length_b 7.062
_cell_length_c 7.062
_cell_angle_alpha 90.00
_cell_angle_beta 90.00
_cell_angle_gamma 90.00
_space_group_name_H-M_alt 'P m -3 m'
_space_group_IT_number 221
_space_group_name_Hall '-P 4 2 3'
loop_
_atom_site_label
_atom_site_type_symbol
_atom_site_fract_x
_atom_site_fract_y
_atom_site_fract_z
_atom_site_occupancy
Cs1 Cs 0.000 0.000 0.500 1
Ba1 Ba 0.500 0.500 0.500 1
Ta1 Ta 0.000 0.000 0.000 1
# Formation energy in kJ/mol of atoms: 128.71
# Crystal system: cubic



No. 3
# CsBaTa2W, optimized geometry, DFT PBE-GGA
data_CsBaTa2W
_cell_length_a 5.388
_cell_length_b 5.388
_cell_length_c 5.429
_cell_angle_alpha 90.00
_cell_angle_beta 90.00
_cell_angle_gamma 90.00
_space_group_name_H-M_alt 'P 4/m m m'
_space_group_IT_number 123
_space_group_name_Hall '-P 4 2'
loop_
_atom_site_label
_atom_site_type_symbol
_atom_site_fract_x
_atom_site_fract_y
_atom_site_fract_z
_atom_site_occupancy
Cs1 Cs 0.000 0.000 0.000 1
Ba1 Ba 0.500 0.500 0.500 1
Ta1 Ta 0.000 0.500 0.500 1
W1 W 0.500 0.500 0.000 1
# Formation energy in kJ/mol of atoms: 314.88
# Crystal system: tetragonal



No. 4
# CsBaTc2, optimized geometry, DFT PBE-GGA
data_CsBaTc2
_cell_length_a 7.833
_cell_length_b 7.833
_cell_length_c 7.833
_cell_angle_alpha 90.00
_cell_angle_beta 90.00
_cell_angle_gamma 90.00
_space_group_name_H-M_alt 'F m -3 m'
_space_group_IT_number 225
_space_group_name_Hall '-F 4 2 3'
loop_
_atom_site_label
_atom_site_type_symbol
_atom_site_fract_x
_atom_site_fract_y
_atom_site_fract_z
_atom_site_occupancy
Cs1 Cs 0.000 0.000 0.000 1
Ba1 Ba 0.000 0.000 0.500 1
Tc1 Tc 0.250 0.250 0.250 1
# Formation energy in kJ/mol of atoms: 189.89
# Crystal system: cubic



No. 5
# Cs2BaTcTe, optimized geometry, DFT PBE-GGA
data_Cs2BaTcTe
_cell_length_a 7.349
_cell_length_b 7.349
_cell_length_c 5.096
_cell_angle_alpha 90.00
_cell_angle_beta 90.00
_cell_angle_gamma 90.00
_space_group_name_H-M_alt 'P 4/m m m'
_space_group_IT_number 123
_space_group_name_Hall '-P 4 2'
loop_
_atom_site_label
_atom_site_type_symbol
_atom_site_fract_x
_atom_site_fract_y
_atom_site_fract_z
_atom_site_occupancy
Cs1 Cs 0.000 0.500 0.000 1
Ba1 Ba 0.000 0.000 0.500 1
Tc1 Tc 0.500 0.500 0.500 1
Te1 Te 0.500 0.500 0.000 1
# Crystal system: tetragonal
# E in eV per cell: -14.64



No. 6
# Cs2BaTe2, optimized geometry, DFT PBE-GGA
data_Cs2BaTe2
_cell_length_a 5.059
_cell_length_b 5.059
_cell_length_c 18.418
_cell_angle_alpha 90.00
_cell_angle_beta 90.00
_cell_angle_gamma 90.00
_space_group_name_H-M_alt 'I 4/m m m'
_space_group_IT_number 139
_space_group_name_Hall '-I 4 2'
loop_
_atom_site_label
_atom_site_type_symbol
_atom_site_fract_x
_atom_site_fract_y
_atom_site_fract_z
_atom_site_occupancy
Cs1 Cs 0.000 0.500 0.250 1
Ba1 Ba 0.000 0.000 0.000 1
Te1 Te 0.000 0.000 0.396 1
# Crystal system: tetragonal
# Relative energy among the computed polymorphs in eV per atom: 0.159



No. 7
# Cs2Ba2Te, optimized geometry, DFT PBE-GGA
data_Cs2Ba2Te
_cell_length_a 9.323
_cell_length_b 9.323
_cell_length_c 8.290
_cell_angle_alpha 90.00
_cell_angle_beta 90.00
_cell_angle_gamma 90.00
_space_group_name_H-M_alt 'P 4/m b m'
_space_group_IT_number 127
_space_group_name_Hall '-P 4 2ab'
loop_
_atom_site_label
_atom_site_type_symbol
_atom_site_fract_x
_atom_site_fract_y
_atom_site_fract_z
_atom_site_occupancy
Cs1 Cs 0.173 0.327 0.000 1
Ba1 Ba 0.175 0.675 0.500 1
Te1 Te 0.000 0.000 0.500 1
# Crystal system: tetragonal
# Relative energy among the computed polymorphs in eV per atom: 0.000



No. 8
# CsBa2Te6, optimized geometry, DFT PBE-GGA
data_CsBa2Te6
_cell_length_a 4.698
_cell_length_b 10.064
_cell_length_c 16.548
_cell_angle_alpha 90.00
_cell_angle_beta 90.00
_cell_angle_gamma 90.00
_space_group_name_H-M_alt 'I m m m'
_space_group_IT_number 71
_space_group_name_Hall '-I 2 2'
loop_
_atom_site_label
_atom_site_type_symbol
_atom_site_fract_x
_atom_site_fract_y
_atom_site_fract_z
_atom_site_occupancy
Cs1 Cs 0.000 0.000 0.000 1
Ba1 Ba 0.000 0.500 0.140 1
Te1 Te 0.000 0.194 0.500 1
Te2 Te 0.000 0.259 0.324 1
# Crystal system: orthorhombic
# E in eV per cell: -62.97



No. 9
# Cs2BaTe, optimized geometry, DFT PBE-GGA
data_Cs2BaTe
_cell_length_a 9.785
_cell_length_b 9.785
_cell_length_c 9.785
_cell_angle_alpha 90.00
_cell_angle_beta 90.00
_cell_angle_gamma 90.00
_space_group_name_H-M_alt 'F m -3 m'
_space_group_IT_number 225
_space_group_name_Hall '-F 4 2 3'
loop_
_atom_site_label
_atom_site_type_symbol
_atom_site_fract_x
_atom_site_fract_y
_atom_site_fract_z
_atom_site_occupancy
Cs1 Cs 0.250 0.250 0.250 1
Ba1 Ba 0.000 0.000 0.000 1
Te1 Te 0.000 0.000 0.500 1
# Crystal system: cubic
# Relative energy among the computed polymorphs in eV per atom: 0.384



No. 10
# CsBaTe3, optimized geometry, DFT PBE-GGA
data_CsBaTe3
_cell_length_a 6.280
_cell_length_b 6.280
_cell_length_c 6.280
_cell_angle_alpha 90.00
_cell_angle_beta 90.00
_cell_angle_gamma 90.00
_space_group_name_H-M_alt 'P m -3 m'
_space_group_IT_number 221
_space_group_name_Hall '-P 4 2 3'
loop_
_atom_site_label
_atom_site_type_symbol
_atom_site_fract_x
_atom_site_fract_y
_atom_site_fract_z
_atom_site_occupancy
Cs1 Cs 0.000 0.000 0.000 1
Ba1 Ba 0.500 0.500 0.500 1
Te1 Te 0.000 0.000 0.500 1
# Crystal system: cubic
# Relative energy among the computed polymorphs in eV per atom: 0.991



No. 11
# CsBaTe3, optimized geometry, DFT PBE-GGA
data_CsBaTe3
_cell_length_a 20.209
_cell_length_b 6.614
_cell_length_c 6.436
_cell_angle_alpha 90.00
_cell_angle_beta 90.00
_cell_angle_gamma 90.00
_space_group_name_H-M_alt 'P n n a'
_space_group_IT_number 52
_space_group_name_Hall '-P 2a 2bc'
loop_
_atom_site_label
_atom_site_type_symbol
_atom_site_fract_x
_atom_site_fract_y
_atom_site_fract_z
_atom_site_occupancy
Cs1 Cs 0.250 0.000 0.033 1
Ba1 Ba 0.002 0.250 0.250 1
Te1 Te 0.088 0.750 0.250 1
Te2 Te 0.125 0.069 0.581 1
# Crystal system: orthorhombic
# Relative energy among the computed polymorphs in eV per atom: 0.000



No. 12
# CsBaTe3, optimized geometry, DFT PBE-GGA
data_CsBaTe3
_cell_length_a 6.683
_cell_length_b 6.683
_cell_length_c 6.683
_cell_angle_alpha 90.00
_cell_angle_beta 90.00
_cell_angle_gamma 90.00
_space_group_name_H-M_alt 'P m -3 m'
_space_group_IT_number 221
_space_group_name_Hall '-P 4 2 3'
loop_
_atom_site_label
_atom_site_type_symbol
_atom_site_fract_x
_atom_site_fract_y
_atom_site_fract_z
_atom_site_occupancy
Cs1 Cs 0.000 0.000 0.000 1
Ba1 Ba 0.500 0.500 0.500 1
Te1 Te 0.000 0.500 0.500 1
# Crystal system: cubic
# Relative energy among the computed polymorphs in eV per atom: 0.545